Compound: SmDy2ErSe4
Source: Alexandria via LeMat-Bulk
Functional: PBE-GGA
Structure: optimized geometry

It has space group P2/m (No. 10), with a = 7.0677 Å, b = 4.0354 Å, c = 7.1699 Å, α = 90.00°, β = 108.79° and γ = 90.00°. The distinct sites, in fractional coordinates, are Sm at (0.0000, 0.0000, 0.0000), Dy at (0.5000, 0.0000, 0.5000), Dy at (0.5000, 0.5000, 0.0000), Er at (0.0000, 0.5000, 0.5000), Se at (0.2502, 0.0000, 0.7443) and Se at (0.2547, 0.5000, 0.2575).

The energy relative to the elements, uncorrected is -1.748 eV per atom. Its uncorrected energy is -46.4 eV for the cell shown. The density of states at the Fermi level is 4.49 states/eV per cell.